Pm2DyAu2: optimized geometry, GGA-PBE.

- density of states at the Fermi level (states/eV per atom) = 1.06
- space-group type = No. 127
- electronic total energy (eV/atom) = -4.793

POSCAR file:
```
Pm2DyAu2
1.0
3.888 0.000 0.000
0.000 8.302 0.000
0.000 0.000 8.302
Au Dy Pm
4 2 4
direct
0.000 0.369 0.869
0.000 0.631 0.131
0.000 0.131 0.369
0.000 0.869 0.631
0.000 0.000 0.000
0.000 0.500 0.500
0.500 0.334 0.166
0.500 0.834 0.334
0.500 0.666 0.834
0.500 0.166 0.666
```

Li3TlHg: optimized geometry, GGA-PBE.

- polymorph energy (0 for the lowest one) (kJ/mol of formula units) = 120.1
- density of states at the Fermi level (states/eV per atom) = 0.47
- space-group type = No. 221

POSCAR file:
```
Li3TlHg
1.0
5.020 0.000 0.000
0.000 5.020 0.000
0.000 0.000 5.020
Li Tl Hg
3 1 1
direct
0.000 0.000 0.500
0.500 0.000 0.000
0.000 0.500 0.000
0.500 0.500 0.500
0.000 0.000 0.000
```

Pr4InSnN: optimized geometry, GGA-PBE.

- density of states at the Fermi level (states/eV per atom) = 0.41
- space-group type = No. 63
- formation energy from raw total energies (meV/atom) = -742

POSCAR file:
```
Pr4InSnN
1.0
7.027 0.000 0.000
0.000 7.031 0.000
-3.514 0.000 8.336
N Pr Sn In
2 8 2 2
direct
0.253 0.750 0.507
0.747 0.250 0.493
0.000 0.500 0.500
0.500 0.000 0.500
0.086 0.750 0.172
0.413 0.750 0.826
0.914 0.250 0.828
0.000 0.000 0.500
0.500 0.500 0.500
0.587 0.250 0.174
0.890 0.750 0.780
0.110 0.250 0.220
0.388 0.250 0.777
0.612 0.750 0.223
```

La4NdPb: optimized geometry, GGA-PBE.

- density of states at the Fermi level (states/eV per atom) = 1.28
- space-group type = No. 11
- electronic total energy (eV/atom) = -4.906

POSCAR file:
```
La4NdPb
1.0
-6.236 -0.400 1.074
1.253 -4.062 5.760
6.523 7.705 4.014
La Pb Nd
8 2 2
direct
0.011 0.250 0.673
0.983 0.250 0.012
0.017 0.750 0.988
0.498 0.492 0.342
0.989 0.750 0.327
0.502 0.508 0.658
0.498 0.008 0.342
0.502 0.992 0.658
0.009 0.750 0.661
0.991 0.250 0.339
0.500 0.000 0.000
0.500 0.500 0.000
```

Ba3AgAu: optimized geometry, GGA-PBE.

- polymorph energy (0 for the lowest one) (kJ/mol of formula units) = 0.0
- density of states at the Fermi level (states/eV per atom) = 0.80
- space-group type = No. 62

POSCAR file:
```
Ba3AgAu
1.0
4.838 0.000 0.000
0.000 13.049 0.000
0.000 0.000 13.200
Ba Ag Au
12 4 4
direct
0.750 0.697 0.273
0.750 0.061 0.611
0.250 0.561 0.889
0.750 0.439 0.111
0.750 0.367 0.452
0.250 0.303 0.727
0.250 0.867 0.048
0.750 0.803 0.773
0.250 0.197 0.227
0.250 0.633 0.548
0.750 0.133 0.952
0.250 0.939 0.389
0.750 0.506 0.696
0.250 0.494 0.304
0.250 0.006 0.804
0.750 0.994 0.196
0.750 0.687 0.010
0.250 0.313 0.990
0.750 0.813 0.510
0.250 0.187 0.490
```

Sm2NiAs4Pt3: optimized geometry, GGA-PBE.

- density of states at the Fermi level (states/eV per atom) = 0.26
- space-group type = No. 115
- electronic total energy (eV/atom) = -6.023

POSCAR file:
```
Sm2NiAs4Pt3
1.0
-3.041 3.140 0.160
-3.144 -3.039 -0.114
0.066 -0.443 9.953
Pt Ni Sm As
3 1 2 4
direct
0.000 0.000 0.500
0.000 0.500 0.128
0.500 0.000 0.872
0.500 0.500 0.500
0.000 0.500 0.744
0.500 0.000 0.256
0.500 0.000 0.624
0.000 0.500 0.376
0.000 0.000 0.000
0.500 0.500 0.000
```

DyBPIr6: optimized geometry, GGA-PBE.

- density of states at the Fermi level (states/eV per atom) = 0.91
- space-group type = No. 74
- electronic total energy (eV/atom) = -7.812

POSCAR file:
```
DyBPIr6
1.0
-6.792 -4.149 -2.905
-1.241 -1.954 5.690
0.857 7.609 -0.517
Dy Ir P B
2 12 2 2
direct
0.943 0.693 0.885
0.057 0.307 0.115
0.200 0.950 0.399
0.800 0.050 0.601
0.394 0.640 0.243
0.663 0.413 0.327
0.150 0.360 0.757
0.850 0.640 0.243
0.606 0.897 0.757
0.606 0.360 0.757
0.150 0.897 0.757
0.337 0.587 0.673
0.850 0.103 0.243
0.394 0.103 0.243
0.500 0.500 0.000
0.500 0.000 0.000
0.000 0.000 0.500
0.500 0.000 0.500
```

NaHfTc3: optimized geometry, GGA-PBE.

- polymorph energy (0 for the lowest one) (kJ/mol of formula units) = 0.0
- density of states at the Fermi level (states/eV per atom) = 0.92
- space-group type = No. 221

POSCAR file:
```
NaHfTc3
1.0
-3.262 -3.596 -0.123
3.268 -2.891 -2.133
1.506 -1.515 4.362
Na Tc Hf
1 3 1
direct
0.500 0.500 0.500
0.000 0.500 0.000
0.500 0.000 0.000
0.000 0.000 0.500
0.000 0.000 0.000
```

Copy entry 4 word for word.
La4NdPb: optimized geometry, GGA-PBE.

- density of states at the Fermi level (states/eV per atom) = 1.28
- space-group type = No. 11
- electronic total energy (eV/atom) = -4.906

POSCAR file:
```
La4NdPb
1.0
-6.236 -0.400 1.074
1.253 -4.062 5.760
6.523 7.705 4.014
La Pb Nd
8 2 2
direct
0.011 0.250 0.673
0.983 0.250 0.012
0.017 0.750 0.988
0.498 0.492 0.342
0.989 0.750 0.327
0.502 0.508 0.658
0.498 0.008 0.342
0.502 0.992 0.658
0.009 0.750 0.661
0.991 0.250 0.339
0.500 0.000 0.000
0.500 0.500 0.000
```

Q: What is the density of states at the Fermi level in the second record?
A: 0.47 states/eV per atom

Q: Which of these has the lowest density of states at the Fermi level?
A: Sm2NiAs4Pt3